# 1
A plane-wave DFT calculation with GGA-PBE was carried out for crystalline HoNp3Tl4Se8 at its relaxed geometry.

Summary:
As for the space-group type: R-3m. Its energy relative to the elements, uncorrected is -1017 meV/atom. As for the calculated total energy: -6.064 eV per atom. As for the calculated density: 8.09 g/cm³. Its volume is 29.814 Å³/atom.

Lattice parameters (Å, degrees): 9.1556 9.1556 9.1556 54.81 54.81 54.81
With the nearest neighbours (Å) after each atom.
Fractional coordinates of all 16 atoms:
Ho1 0.0000 0.0000 0.0000  6 Se 2.88
Np1 0.0000 0.5000 0.5000  6 Se 2.89-2.91
Np2 0.5000 0.0000 0.5000  6 Se 2.89-2.91
Np3 0.5000 0.5000 0.0000  6 Se 2.89-2.91
Tl1 0.0000 0.0000 0.5000  6 Se 3.34-3.35
Tl2 0.0000 0.5000 0.0000  6 Se 3.34-3.35
Tl3 0.5000 0.0000 0.0000  6 Se 3.34-3.35
Tl4 0.5000 0.5000 0.5000  6 Se 3.36
Se1 0.2329 0.2329 0.7379  1 Ho 2.88, 2 Np 2.91
Se2 0.2329 0.7379 0.2329  1 Ho 2.88, 2 Np 2.91
Se3 0.2621 0.7671 0.7671  1 Ho 2.88, 2 Np 2.91
Se4 0.2659 0.2659 0.2659  3 Np 2.89
Se5 0.7341 0.7341 0.7341  3 Np 2.89
Se6 0.7379 0.2329 0.2329  1 Ho 2.88, 2 Np 2.91
Se7 0.7671 0.2621 0.7671  1 Ho 2.88, 2 Np 2.91
Se8 0.7671 0.7671 0.2621  1 Ho 2.88, 2 Np 2.91



# 2
A plane-wave DFT calculation with GGA-PBE was carried out for crystalline CaCu3As at its relaxed geometry.

Summary:
As for the space-group type: Pm-3m. As for the calculated total energy: -3.691 eV per atom. As for the calculated density: 5.12 g/cm³. The calculation puts the formation enthalpy at 0 K at 9.4 kJ per mole of atoms. Its volume is 19.837 Å³/atom. The calculation puts the energy relative to the lowest polymorph listed for this composition at 0.0000 eV/atom.

Lattice parameters (Å, degrees): 4.6289 4.6289 4.6289 90.00 90.00 90.00
With the nearest neighbours (Å) after each atom.
Fractional coordinates of all 5 atoms:
Ca1 0.0000 0.0000 0.0000  12 Cu 3.27
Cu1 0.0000 0.5000 0.5000  2 As 2.31
Cu2 0.5000 0.0000 0.5000  2 As 2.31
Cu3 0.5000 0.5000 0.0000  2 As 2.31
As1 0.5000 0.5000 0.5000  6 Cu 2.31



# 3
A plane-wave DFT calculation with GGA-PBE was carried out for crystalline PuCuRh2 at its relaxed geometry.

Summary:
As for the space-group type: P4/mmm. As for the calculated total energy: -8.644 eV per atom. As for the calculated density: 13.15 g/cm³. The calculation puts the formation enthalpy at 0 K at -34.9 kJ per mole of atoms. Its volume is 16.212 Å³/atom.

Lattice parameters (Å, degrees): 4.1624 4.1624 3.7429 90.00 90.00 90.00
With the nearest neighbours (Å) after each atom.
Fractional coordinates of all 4 atoms:
Pu1 0.0000 0.0000 0.0000  8 Rh 2.80, 4 Cu 2.94
Cu1 0.5000 0.5000 0.0000  8 Rh 2.80, 4 Pu 2.94
Rh1 0.0000 0.5000 0.5000  4 Cu 2.80, 4 Pu 2.80, 4 Rh 2.94
Rh2 0.5000 0.0000 0.5000  4 Cu 2.80, 4 Pu 2.80, 4 Rh 2.94



# 4
A plane-wave DFT calculation with GGA-PBE was carried out for crystalline RbBa2InS4 at its relaxed geometry.

Summary:
As for the space-group type: C2. Its energy relative to the elements, uncorrected is -1430 meV/atom. As for the calculated total energy: -4.438 eV per atom. As for the calculated density: 3.90 g/cm³. Its volume is 32.064 Å³/atom.

Lattice parameters (Å, degrees): 8.7854 8.7854 8.2971 115.46 115.46 70.36
With the nearest neighbours (Å) after each atom.
Fractional coordinates of all 16 atoms:
Rb1 0.0000 0.0000 0.0000  4 S 3.21-3.45
Rb2 0.9630 0.0370 0.5000  4 S 3.19-3.57
Ba1 0.0191 0.5348 0.1584  7 S 3.21-3.49
Ba2 0.4652 0.9809 0.8416  7 S 3.21-3.49
Ba3 0.4734 0.5266 0.0000  6 S 3.10-3.32
Ba4 0.5427 0.4573 0.5000  6 S 3.08-3.34
In1 0.0029 0.5151 0.6257  4 S 2.50-2.53
In2 0.4849 0.9971 0.3743  4 S 2.50-2.53
S1 0.1772 0.3262 0.8221  1 In 2.50
S2 0.2076 0.6755 0.6494  1 In 2.53
S3 0.3163 0.1961 0.1876  1 In 2.50
S4 0.3245 0.7924 0.3506  1 In 2.53
S5 0.6330 0.1787 0.7064  1 In 2.52
S6 0.6738 0.8228 0.1779  1 In 2.50
S7 0.8039 0.6837 0.8124  1 In 2.50
S8 0.8213 0.3670 0.2936  1 In 2.52



# 5
A plane-wave DFT calculation with GGA-PBE was carried out for crystalline Tc2SbAs2 at its relaxed geometry.

Summary:
As for the space-group type: I4/mmm. Its energy relative to the elements, uncorrected is 163 meV/atom. As for the calculated total energy: -6.668 eV per atom. As for the calculated density: 8.54 g/cm³. Its volume is 18.187 Å³/atom. The calculation puts the energy relative to the lowest polymorph listed for this composition at 0.0784 eV/atom.

Lattice parameters (Å, degrees): 3.8704 3.8704 12.1411 90.00 90.00 90.00
With the nearest neighbours (Å) after each atom.
Fractional coordinates of all 10 atoms:
Tc1 0.0000 0.0000 0.1189  4 As 2.51
Tc2 0.0000 0.0000 0.8811  4 As 2.51
Tc3 0.5000 0.5000 0.3811  4 As 2.51
Tc4 0.5000 0.5000 0.6189  4 As 2.51
Sb1 0.0000 0.0000 0.5000  8 Tc 3.09
Sb2 0.5000 0.5000 0.0000  8 Tc 3.09
As1 0.0000 0.5000 0.2500  4 Tc 2.51, 4 As 2.74
As2 0.0000 0.5000 0.7500  4 Tc 2.51, 4 As 2.74
As3 0.5000 0.0000 0.2500  4 Tc 2.51, 4 As 2.74
As4 0.5000 0.0000 0.7500  4 Tc 2.51, 4 As 2.74



# 6
A plane-wave DFT calculation with GGA-PBE was carried out for crystalline Ca2ZnRe at its relaxed geometry.

Summary:
As for the space-group type: I-4m2. As for the calculated total energy: -3.821 eV per atom. As for the calculated density: 6.48 g/cm³. The calculation puts the formation enthalpy at 0 K at 58.9 kJ per mole of atoms. Its volume is 21.254 Å³/atom.

Lattice parameters (Å, degrees): 4.4217 4.4217 8.6968 90.00 90.00 90.00
With the nearest neighbours (Å) after each atom.
Fractional coordinates of all 8 atoms:
Ca1 0.0000 0.0000 0.0000  4 Re 3.10, 4 Ca 3.10, 4 Zn 3.13
Ca2 0.0000 0.5000 0.2500  4 Ca 3.10, 4 Zn 3.10, 4 Re 3.13
Ca3 0.5000 0.0000 0.7500  4 Zn 3.10, 4 Ca 3.10, 4 Re 3.13
Ca4 0.5000 0.5000 0.5000  4 Re 3.10, 4 Ca 3.10, 4 Zn 3.13
Zn1 0.0000 0.0000 0.5000  4 Re 3.10, 8 Ca 3.10-3.13
Zn2 0.5000 0.5000 0.0000  4 Re 3.10, 8 Ca 3.10-3.13
Re1 0.0000 0.5000 0.7500  4 Zn 3.10, 8 Ca 3.10-3.13
Re2 0.5000 0.0000 0.2500  8 Ca 3.10-3.13, 4 Zn 3.10



# 7
A plane-wave DFT calculation with GGA-PBE was carried out for crystalline Hf5Ti2Sn at its relaxed geometry.

Summary:
As for the space-group type: I4/mcm. As for the calculated total energy: -8.738 eV per atom. As for the calculated density: 10.91 g/cm³. The calculation puts the formation enthalpy at 0 K at -4.2 kJ per mole of atoms. Its volume is 21.064 Å³/atom.

Lattice parameters (Å, degrees): 8.1241 8.1241 8.1241 126.25 126.25 79.48
With the nearest neighbours (Å) after each atom.
Fractional coordinates of all 16 atoms:
Hf1 0.0000 0.0000 0.0000  4 Ti 2.83, 2 Sn 3.12
Hf2 0.0058 0.5058 0.1983  3 Ti 2.91, 2 Sn 3.03, 4 Hf 3.11-3.22
Hf3 0.1925 0.9942 0.5000  3 Ti 2.91, 2 Sn 3.03, 4 Hf 3.11-3.22
Hf4 0.3075 0.8075 0.8017  3 Ti 2.91, 2 Sn 3.03, 4 Hf 3.11-3.22
Hf5 0.4942 0.6925 0.5000  3 Ti 2.91, 2 Sn 3.03, 4 Hf 3.11-3.22
Hf6 0.5000 0.5000 0.0000  4 Ti 2.83, 2 Sn 3.12
Hf7 0.5058 0.3075 0.5000  3 Ti 2.91, 2 Sn 3.03, 4 Hf 3.11-3.22
Hf8 0.6925 0.1925 0.1983  3 Ti 2.91, 2 Sn 3.03, 4 Hf 3.11-3.22
Hf9 0.8075 0.0058 0.5000  3 Ti 2.91, 2 Sn 3.03, 4 Hf 3.11-3.22
Hf10 0.9942 0.4942 0.8017  3 Ti 2.91, 2 Sn 3.03, 4 Hf 3.11-3.22
Ti1 0.1422 0.3578 0.5000  8 Hf 2.83-2.91, 1 Ti 2.95
Ti2 0.3578 0.8578 0.2155  8 Hf 2.83-2.91, 1 Ti 2.95
Ti3 0.6422 0.1422 0.7845  8 Hf 2.83-2.91, 1 Ti 2.95
Ti4 0.8578 0.6422 0.5000  8 Hf 2.83-2.91, 1 Ti 2.95
Sn1 0.2500 0.2500 0.0000  10 Hf 3.03-3.12
Sn2 0.7500 0.7500 0.0000  10 Hf 3.03-3.12



# 8
A plane-wave DFT calculation with GGA-PBE was carried out for crystalline MnCrIn3 at its relaxed geometry.

Summary:
As for the space-group type: Pm-3m. As for the calculated total energy: -4.539 eV per atom. As for the calculated density: 5.80 g/cm³. The calculation puts the formation enthalpy at 0 K at 83.2 kJ per mole of atoms. Its volume is 25.850 Å³/atom.

Lattice parameters (Å, degrees): 5.0560 5.0560 5.0560 90.00 90.00 90.00
With the nearest neighbours (Å) after each atom.
Fractional coordinates of all 5 atoms:
Mn1 0.0000 0.0000 0.0000  12 In 3.58
Cr1 0.5000 0.5000 0.5000  6 In 2.53
In1 0.0000 0.5000 0.5000  2 Cr 2.53
In2 0.5000 0.0000 0.5000  2 Cr 2.53
In3 0.5000 0.5000 0.0000  2 Cr 2.53



# 9
A plane-wave DFT calculation with GGA-PBE was carried out for crystalline HfB3O at its relaxed geometry.

Summary:
As for the space-group type: Pm-3m. Its energy relative to the elements, uncorrected is 2446 meV/atom. As for the calculated total energy: -4.543 eV per atom. As for the calculated density: 4.00 g/cm³. Its volume is 18.825 Å³/atom. The calculation puts the energy relative to the lowest polymorph listed for this composition at 1.5332 eV/atom.

Lattice parameters (Å, degrees): 4.5489 4.5489 4.5489 90.00 90.00 90.00
With the nearest neighbours (Å) after each atom.
Fractional coordinates of all 5 atoms:
Hf1 0.0000 0.0000 0.0000  6 B 2.27
B1 0.0000 0.0000 0.5000  2 Hf 2.27
B2 0.0000 0.5000 0.0000  2 Hf 2.27
B3 0.5000 0.0000 0.0000  2 Hf 2.27
O1 0.5000 0.5000 0.5000  12 B 3.22



# 10
A plane-wave DFT calculation with GGA-PBE was carried out for crystalline MgInCoSn2 at its relaxed geometry.

Summary:
As for the space-group type: P4/mmm. As for the calculated total energy: -3.862 eV per atom. As for the calculated density: 6.04 g/cm³. The calculation puts the formation enthalpy at 0 K at 2.6 kJ per mole of atoms. Its volume is 23.964 Å³/atom.

Lattice parameters (Å, degrees): 4.9058 4.9058 4.9786 90.00 90.00 90.00
With the nearest neighbours (Å) after each atom.
Fractional coordinates of all 5 atoms:
Mg1 0.0000 0.0000 0.0000  2 Co 2.49
In1 0.5000 0.5000 0.0000  4 Mg 3.47, 8 Sn 3.49
Co1 0.0000 0.0000 0.5000  4 Sn 2.45, 2 Mg 2.49
Sn1 0.0000 0.5000 0.5000  2 Co 2.45
Sn2 0.5000 0.0000 0.5000  2 Co 2.45



# 11
A plane-wave DFT calculation with GGA-PBE was carried out for crystalline Tb7Dy3Sc2 at its relaxed geometry.

Summary:
As for the space-group type: P2/m. As for the calculated total energy: -4.803 eV per atom. As for the calculated density: 7.58 g/cm³. The calculation puts the formation enthalpy at 0 K at 10.0 kJ per mole of atoms. Its volume is 30.857 Å³/atom. The calculation puts the energy relative to the lowest polymorph listed for this composition at 0.0000 eV/atom.

Lattice parameters (Å, degrees): 5.7454 3.5187 18.3511 90.00 93.52 90.00
With the nearest neighbours (Å) after each atom.
Fractional coordinates of all 12 atoms:
Tb1 0.0000 0.0000 0.0000  4 Tb 3.35-3.52, 4 Dy 3.37
Tb2 0.1882 0.5000 0.1838  6 Tb 3.41-3.52, 2 Sc 3.53-3.54, 2 Dy 3.77
Tb3 0.2574 0.5000 0.5379  1 Sc 3.04, 2 Tb 3.19
Tb4 0.3139 0.0000 0.8523  2 Sc 3.24, 7 Tb 3.35-3.52, 2 Dy 3.35
Tb5 0.6861 0.0000 0.1477  2 Sc 3.24, 7 Tb 3.35-3.52, 2 Dy 3.35
Tb6 0.7426 0.5000 0.4621  1 Sc 3.04, 2 Tb 3.19
Tb7 0.8118 0.5000 0.8162  6 Tb 3.41-3.52, 2 Sc 3.53-3.54, 2 Dy 3.77
Dy1 0.2219 0.0000 0.3659  2 Dy 3.52, 4 Sc 3.59-3.62, 8 Tb 3.61-3.81
Dy2 0.5000 0.5000 0.0000  8 Tb 3.35-3.37, 2 Dy 3.52
Dy3 0.7781 0.0000 0.6341  2 Dy 3.52, 4 Sc 3.59-3.62, 8 Tb 3.61-3.81
Sc1 0.2884 0.5000 0.7039  3 Tb 3.04-3.24
Sc2 0.7116 0.5000 0.2961  3 Tb 3.04-3.24



# 12
A plane-wave DFT calculation with GGA-PBE was carried out for crystalline Sm2Dy3Sc2 at its relaxed geometry.

Summary:
As for the space-group type: Cmmm. As for the calculated total energy: -5.095 eV per atom. As for the calculated density: 6.91 g/cm³. The calculation puts the formation enthalpy at 0 K at 3.4 kJ per mole of atoms. Its volume is 30.155 Å³/atom. The calculation puts the energy relative to the lowest polymorph listed for this composition at 0.0000 eV/atom.

Lattice parameters (Å, degrees): 5.2151 23.4149 3.4573 90.00 90.00 90.00
With the nearest neighbours (Å) after each atom.
Fractional coordinates of all 14 atoms:
Sm1 0.0000 0.0757 0.0000  1 Sc 3.30, 3 Sm 3.46-3.55, 8 Dy 3.60-3.67
Sm2 0.0000 0.9243 0.0000  1 Sc 3.30, 3 Sm 3.46-3.55, 8 Dy 3.60-3.67
Sm3 0.5000 0.4243 0.0000  1 Sc 3.30, 3 Sm 3.46-3.55, 8 Dy 3.60-3.67
Sm4 0.5000 0.5757 0.0000  1 Sc 3.30, 3 Sm 3.46-3.55, 8 Dy 3.60-3.67
Dy1 0.0000 0.3427 0.5000  6 Sc 3.42, 3 Dy 3.46-3.68, 4 Sm 3.67
Dy2 0.0000 0.5000 0.5000  4 Dy 3.46-3.68, 8 Sm 3.60
Dy3 0.0000 0.6573 0.5000  6 Sc 3.42, 3 Dy 3.46-3.68, 4 Sm 3.67
Dy4 0.5000 0.0000 0.5000  4 Dy 3.46-3.68, 8 Sm 3.60
Dy5 0.5000 0.1573 0.5000  6 Sc 3.42, 3 Dy 3.46-3.68, 4 Sm 3.67
Dy6 0.5000 0.8427 0.5000  6 Sc 3.42, 3 Dy 3.46-3.68, 4 Sm 3.67
Sc1 0.0000 0.2166 0.0000  2 Sc 3.04, 1 Sm 3.30
Sc2 0.0000 0.7834 0.0000  2 Sc 3.04, 1 Sm 3.30
Sc3 0.5000 0.2834 0.0000  2 Sc 3.04, 1 Sm 3.30
Sc4 0.5000 0.7166 0.0000  2 Sc 3.04, 1 Sm 3.30



# 13
A plane-wave DFT calculation with GGA-PBE was carried out for crystalline Cd2CuAs at its relaxed geometry.

Summary:
As for the space-group type: Cm. As for the calculated total energy: -2.551 eV per atom. As for the calculated density: 7.48 g/cm³. The calculation puts the formation enthalpy at 0 K at 9.0 kJ per mole of atoms. Its volume is 20.170 Å³/atom.

Lattice parameters (Å, degrees): 9.8141 2.9822 5.8905 90.00 110.61 90.00
With the nearest neighbours (Å) after each atom.
Fractional coordinates of all 8 atoms:
Cd1 0.0000 0.0000 0.0000  3 Cu 2.71-2.75, 2 Cd 2.98
Cd2 0.2034 0.0000 0.6622  2 Cu 2.84, 3 As 2.92-3.11, 2 Cd 2.98
Cd3 0.5000 0.5000 0.0000  3 Cu 2.71-2.75, 2 Cd 2.98
Cd4 0.7034 0.5000 0.6622  2 Cu 2.84, 3 As 2.92-3.11, 2 Cd 2.98
Cu1 0.2435 0.5000 0.0908  2 As 2.50, 3 Cd 2.71-2.75
Cu2 0.7435 0.0000 0.0908  2 As 2.50, 3 Cd 2.71-2.75
As1 0.4107 0.0000 0.4070  2 Cu 2.50
As2 0.9107 0.5000 0.4070  2 Cu 2.50